(1)
VASP calculation (PBE-GGA) on an optimized crystal structure of Pb2SCl2.

Cell: 4.301 4.301 10.800 Å, 102.70 102.70 60.02°
Fractional coordinates of all 5 atoms:
1 Pb 0.227 0.227 0.165
2 Pb 0.773 0.773 0.835
3 S 0.500 0.500 0.000
4 Cl 0.052 0.052 0.687
5 Cl 0.948 0.948 0.313

## Properties
- excess energy over the best structure of this formula in the dataset (meV per atom) = 0

(2)
VASP calculation (PBE-GGA) on an optimized crystal structure of Pb2SCl2.

Cell: 9.041 9.041 7.942 Å, 90.00 90.00 151.65°
Fractional coordinates of all 10 atoms:
1 Pb 0.073 0.927 0.500
2 Pb 0.333 0.667 0.450
3 Pb 0.667 0.333 0.950
4 Pb 0.927 0.073 0.000
5 S 0.075 0.925 0.871
6 S 0.925 0.075 0.371
7 Cl 0.294 0.706 0.094
8 Cl 0.425 0.575 0.757
9 Cl 0.575 0.425 0.257
10 Cl 0.706 0.294 0.594

## Properties
- excess energy over the best structure of this formula in the dataset (meV per atom) = 39